(1)
VASP calculation (GGA-PBEsol) on KCa2Fe after structural relaxation. Values from VASP.

Cell and atoms, written as Quantum ESPRESSO input:
```
&SYSTEM
  ibrav = 0, nat = 4, ntyp = 3
/
ATOMIC_SPECIES
K 39.10 K.upf
Ca 40.08 Ca.upf
Fe 55.84 Fe.upf
CELL_PARAMETERS angstrom
5.4212 0.0000 0.0000
0.0000 5.4212 0.0000
0.0000 0.0000 4.2978
ATOMIC_POSITIONS crystal
K 0.0000 0.0000 0.0000
Ca 0.0000 0.5000 0.5000
Ca 0.5000 0.0000 0.5000
Fe 0.5000 0.5000 0.0000
```

* ΔE to the lowest computed polymorph: 0.1795 eV/atom
* SG: P4/mmm, No. 123

***

(2)
VASP calculation (GGA-PBEsol) on K2InAu after structural relaxation. Values from VASP.

Cell and atoms, written as Quantum ESPRESSO input:
```
&SYSTEM
  ibrav = 0, nat = 4, ntyp = 3
/
ATOMIC_SPECIES
K 39.10 K.upf
In 114.82 In.upf
Au 196.97 Au.upf
CELL_PARAMETERS angstrom
4.6873 0.0000 0.0000
0.0000 2.5172 6.0857
0.0000 -2.5172 6.0857
ATOMIC_POSITIONS crystal
K 0.0000 0.0000 0.0000
K 0.5000 0.3011 0.3011
In 0.5000 0.6003 0.6003
Au 0.0000 0.7077 0.7077
```

* E_tot: -2.43 eV/atom
* SG: Amm2, No. 38

***

(3)
VASP calculation (GGA-PBEsol) on Sr3GaNi after structural relaxation. Values from VASP.

Cell and atoms, written as Quantum ESPRESSO input:
```
&SYSTEM
  ibrav = 0, nat = 5, ntyp = 3
/
ATOMIC_SPECIES
Sr 87.62 Sr.upf
Ga 69.72 Ga.upf
Ni 58.69 Ni.upf
CELL_PARAMETERS angstrom
5.5570 0.0000 0.0000
0.0000 5.5570 0.0000
0.0000 0.0000 5.5570
ATOMIC_POSITIONS crystal
Sr 0.0000 0.0000 0.5000
Sr 0.0000 0.5000 0.0000
Sr 0.5000 0.0000 0.0000
Ga 0.5000 0.5000 0.5000
Ni 0.0000 0.0000 0.0000
```

* E_tot: -2.91 eV/atom
* SG: Pm-3m, No. 221

***

(4)
VASP calculation (GGA-PBEsol) on LaAsPS2 after structural relaxation. Values from VASP.

Cell and atoms, written as Quantum ESPRESSO input:
```
&SYSTEM
  ibrav = 0, nat = 5, ntyp = 4
/
ATOMIC_SPECIES
La 138.91 La.upf
As 74.92 As.upf
P 30.97 P.upf
S 32.06 S.upf
CELL_PARAMETERS angstrom
4.7476 0.0000 0.0000
0.0000 4.7476 0.0000
0.0000 0.0000 4.6874
ATOMIC_POSITIONS crystal
La 0.0000 0.0000 0.0000
As 0.5000 0.5000 0.5000
P 0.5000 0.5000 0.0000
S 0.0000 0.5000 0.5000
S 0.5000 0.0000 0.5000
```

* E_tot: -5.61 eV/atom
* SG: P4/mmm, No. 123

***

(5)
VASP calculation (GGA-PBEsol) on YH3I after structural relaxation. Values from VASP.

Cell and atoms, written as Quantum ESPRESSO input:
```
&SYSTEM
  ibrav = 0, nat = 5, ntyp = 3
/
ATOMIC_SPECIES
Y 88.91 Y.upf
H 1.01 H.upf
I 126.90 I.upf
CELL_PARAMETERS angstrom
4.1643 0.0000 0.0000
0.0000 4.1643 0.0000
0.0000 0.0000 4.1643
ATOMIC_POSITIONS crystal
Y 0.0000 0.0000 0.0000
H 0.0000 0.0000 0.5000
H 0.0000 0.5000 0.0000
H 0.5000 0.0000 0.0000
I 0.5000 0.5000 0.5000
```

* E_tot: -3.84 eV/atom
* SG: Pm-3m, No. 221

***

(6)
VASP calculation (GGA-PBEsol) on YZrHg3 after structural relaxation. Values from VASP.

Cell and atoms, written as Quantum ESPRESSO input:
```
&SYSTEM
  ibrav = 0, nat = 5, ntyp = 3
/
ATOMIC_SPECIES
Y 88.91 Y.upf
Zr 91.22 Zr.upf
Hg 200.59 Hg.upf
CELL_PARAMETERS angstrom
5.3218 0.0000 0.0000
0.0000 5.3218 0.0000
0.0000 0.0000 5.3218
ATOMIC_POSITIONS crystal
Y 0.0000 0.0000 0.0000
Zr 0.5000 0.5000 0.5000
Hg 0.0000 0.0000 0.5000
Hg 0.0000 0.5000 0.0000
Hg 0.5000 0.0000 0.0000
```

* ΔE to the lowest computed polymorph: 0.4768 eV/atom
* SG: Pm-3m, No. 221